Crystalline BaRuAu2Cl at its relaxed geometry, computed with GGA-PBE.

It has space group P4/mmm (No. 123), with a = 5.926 Å, b = 5.926 Å, c = 5.609 Å, α = 90.00°, β = 90.00° and γ = 90.00°. The distinct sites, in fractional coordinates, are Ba at (0.000, 0.000, 0.000), Ru at (0.000, 0.000, 0.500), Au at (0.000, 0.500, 0.000) and Cl at (0.500, 0.500, 0.500).

The size of the total moment comes out at 2.29 μB per cell. The mass density comes out at 5.63 g cm⁻³. For the total energy, the calculation gives -0.0951 Ha/atom. Its formation energy (no corrections) is 1.3332 eV/atom.

---

Crystalline InGaGeF6 at its relaxed geometry, computed with GGA-PBE.

It has space group P1 (No. 1), with a = 5.673 Å, b = 5.683 Å, c = 5.696 Å, α = 89.92°, β = 89.92° and γ = 60.06°. The distinct sites, in fractional coordinates, are In at (0.000, 0.000, 0.000), Ga at (0.667, 0.667, 0.512), Ge at (0.334, 0.333, 0.523), F at (0.353, 0.745, 0.689), F at (0.457, 0.996, 0.313), F at (0.549, 0.456, 0.313), F at (0.745, 0.900, 0.690), F at (0.901, 0.354, 0.689) and F at (0.996, 0.549, 0.313).

The size of the total moment comes out at 0.00 μB per cell. The mass density comes out at 3.87 g cm⁻³. For the total energy, the calculation gives -0.1701 Ha/atom. Its formation energy (no corrections) is -2.2279 eV/atom.

---

Crystalline TaSbMo2 at its relaxed geometry, computed with GGA-PBE.

It has space group P4/mmm (No. 123), with a = 4.551 Å, b = 4.551 Å, c = 3.360 Å, α = 90.00°, β = 90.00° and γ = 90.00°. The distinct sites, in fractional coordinates, are Ta at (0.000, 0.000, 0.000), Sb at (0.500, 0.500, 0.000) and Mo at (0.000, 0.500, 0.500).

The size of the total moment comes out at 0.01 μB per cell. The mass density comes out at 11.80 g cm⁻³. For the total energy, the calculation gives -0.3428 Ha/atom. Its formation energy (no corrections) is 0.0817 eV/atom.

---

Crystalline Zr2CrSb at its relaxed geometry, computed with GGA-PBE.

It has space group F-43m (No. 216), with a = 6.815 Å, b = 6.815 Å, c = 6.815 Å, α = 90.00°, β = 90.00° and γ = 90.00°. The distinct sites, in fractional coordinates, are Zr at (0.000, 0.000, 0.000), Zr at (0.250, 0.250, 0.250), Cr at (0.250, 0.250, 0.750) and Sb at (0.000, 0.000, 0.500).

The size of the total moment comes out at 4.08 μB per cell. The mass density comes out at 7.47 g cm⁻³. For the total energy, the calculation gives -0.2814 Ha/atom. Its formation energy (no corrections) is 0.0545 eV/atom.

---

Crystalline MgTl2Hg at its relaxed geometry, computed with GGA-PBE.

It has space group R-3m (No. 166, hexagonal axes), with a = 3.5169 Å, b = 3.5169 Å, c = 30.3400 Å, α = 90.00°, β = 90.00° and γ = 120.00°. The distinct sites, in fractional coordinates, are Mg at (0.0000, 0.0000, 0.0000), Tl at (0.0000, 0.0000, 0.2529) and Hg at (0.0000, 0.0000, 0.5000).

The size of the total moment comes out at 0.00 μB per cell. The mass density comes out at 9.71 g cm⁻³. For the total energy, the calculation gives -0.0608 Ha/atom.

---

Crystalline SrRe2Au at its relaxed geometry, computed with GGA-PBE.

It has space group Cm (No. 8), with a = 8.065 Å, b = 3.193 Å, c = 7.092 Å, α = 90.00°, β = 99.42° and γ = 90.00°. The distinct sites, in fractional coordinates, are Sr at (0.000, 0.000, 0.000), Re at (0.001, 0.500, 0.449), Re at (0.276, 0.500, 0.328) and Au at (0.237, 0.000, 0.687).

The size of the total moment comes out at 0.00 μB per cell. The mass density comes out at 12.11 g cm⁻³. The calculation puts the energy above the most stable polymorph in this dataset at 0.95 eV/f.u. For the total energy, the calculation gives -0.2547 Ha/atom.

---

Crystalline H3RuF at its relaxed geometry, computed with GGA-PBE.

It has space group Pm-3m (No. 221), with a = 3.445 Å, b = 3.445 Å, c = 3.445 Å, α = 90.00°, β = 90.00° and γ = 90.00°. The distinct sites, in fractional coordinates, are H at (0.000, 0.000, 0.500), Ru at (0.000, 0.000, 0.000) and F at (0.500, 0.500, 0.500).

The size of the total moment comes out at 2.08 μB per cell. The mass density comes out at 5.00 g cm⁻³. The calculation puts the energy above the most stable polymorph in this dataset at 0.00 eV/f.u. For the total energy, the calculation gives -0.1419 Ha/atom.

---

Crystalline PmBePRh at its relaxed geometry, computed with GGA-PBE.

It has space group P4/nmm (No. 129, origin choice 2), with a = 4.022 Å, b = 4.022 Å, c = 8.768 Å, α = 90.00°, β = 90.00° and γ = 90.00°. The distinct sites, in fractional coordinates, are Pm at (0.250, 0.250, 0.200), Be at (0.250, 0.250, 0.629), P at (0.250, 0.250, 0.868) and Rh at (0.250, 0.750, 0.500).

The size of the total moment comes out at 0.00 μB per cell. The mass density comes out at 6.74 g cm⁻³. For the total energy, the calculation gives -0.2256 Ha/atom.

---

Crystalline LiCdIr2 at its relaxed geometry, computed with GGA-PBE.

It has space group Cm (No. 8), with a = 9.099 Å, b = 2.821 Å, c = 4.927 Å, α = 90.00°, β = 98.94° and γ = 90.00°. The distinct sites, in fractional coordinates, are Li at (0.000, 0.000, 0.000), Cd at (0.241, 0.000, 0.794), Ir at (0.253, 0.500, 0.298) and Ir at (0.492, 0.000, 0.457).

The size of the total moment comes out at 0.00 μB per cell. The mass density comes out at 13.40 g cm⁻³. For the total energy, the calculation gives -0.1889 Ha/atom.

---

Crystalline Cs3FeI6 at its relaxed geometry, computed with GGA-PBE.

It has space group Cmc2_1 (No. 36), with a = 15.437 Å, b = 20.415 Å, c = 6.689 Å, α = 90.00°, β = 90.00° and γ = 90.00°. The distinct sites, in fractional coordinates, are Cs at (0.000, 0.080, 0.000), Cs at (0.208, 0.407, 0.526), Fe at (0.000, 0.311, 0.026), I at (0.000, 0.301, 0.404), I at (0.000, 0.433, 0.921), I at (0.138, 0.254, 0.904) and I at (0.163, 0.073, 0.520).

The size of the total moment comes out at 19.85 μB per cell. The mass density comes out at 3.83 g cm⁻³. For the total energy, the calculation gives -0.1107 Ha/atom. Its formation energy (no corrections) is -0.9798 eV/atom.

---

Crystalline PWSe3 at its relaxed geometry, computed with GGA-PBE.

It has space group Pm-3m (No. 221), with a = 4.939 Å, b = 4.939 Å, c = 4.939 Å, α = 90.00°, β = 90.00° and γ = 90.00°. The distinct sites, in fractional coordinates, are P at (0.000, 0.000, 0.000), W at (0.500, 0.500, 0.500) and Se at (0.000, 0.500, 0.500).

The size of the total moment comes out at 2.02 μB per cell. The mass density comes out at 6.22 g cm⁻³. The calculation puts the energy above the most stable polymorph in this dataset at 0.00 eV/f.u. For the total energy, the calculation gives -0.1844 Ha/atom. Its formation energy (no corrections) is 0.7457 eV/atom.

---

Crystalline LiZnHg2 at its relaxed geometry, computed with GGA-PBE.

It has space group Immm (No. 71), with a = 3.294 Å, b = 5.280 Å, c = 11.018 Å, α = 90.00°, β = 90.00° and γ = 90.00°. The distinct sites, in fractional coordinates, are Li at (0.000, 0.000, 0.000), Zn at (0.000, 0.000, 0.500) and Hg at (0.000, 0.000, 0.247).

The size of the total moment comes out at 0.00 μB per cell. The mass density comes out at 8.21 g cm⁻³. For the total energy, the calculation gives -0.0325 Ha/atom.

---

Crystalline TbPrEr2Bi4 at its relaxed geometry, computed with GGA-PBE.

It has space group P2/m (No. 10), with a = 7.804 Å, b = 4.513 Å, c = 7.810 Å, α = 90.00°, β = 109.50° and γ = 90.00°. The distinct sites, in fractional coordinates, are Tb at (0.000, 0.000, 0.000), Pr at (0.000, 0.500, 0.500), Er at (0.500, 0.000, 0.500), Er at (0.500, 0.500, 0.000), Bi at (0.257, 0.500, 0.248) and Bi at (0.260, 0.000, 0.758).

The size of the total moment comes out at 0.00 μB per cell. The mass density comes out at 9.42 g cm⁻³. For the total energy, the calculation gives -0.1881 Ha/atom.

---

Crystalline AlSiTe2 at its relaxed geometry, computed with GGA-PBE.

It has space group C2/m (No. 12), with a = 7.210 Å, b = 4.143 Å, c = 7.073 Å, α = 90.00°, β = 109.70° and γ = 90.00°. The distinct sites, in fractional coordinates, are Al at (0.000, 0.000, 0.000), Si at (0.000, 0.500, 0.500) and Te at (0.250, 0.000, 0.750).

The size of the total moment comes out at 0.00 μB per cell. The mass density comes out at 5.18 g cm⁻³. The calculation puts the energy above the most stable polymorph in this dataset at 0.33 eV/f.u. For the total energy, the calculation gives -0.1413 Ha/atom. Its formation energy (no corrections) is 0.0162 eV/atom.

---

Crystalline La2TbTm4Sc at its relaxed geometry, computed with GGA-PBE.

It has space group C2/c (No. 15), with a = 13.529 Å, b = 13.070 Å, c = 6.727 Å, α = 90.00°, β = 119.80° and γ = 90.00°. The distinct sites, in fractional coordinates, are La at (0.000, 0.000, 0.000), La at (0.250, 0.250, 0.000), Tb at (0.250, 0.250, 0.500), Tm at (0.000, 0.264, 0.002), Tm at (0.231, 0.499, 0.480) and Sc at (0.000, 0.500, 0.000).

The size of the total moment comes out at 2.27 μB per cell. The mass density comes out at 7.45 g cm⁻³. For the total energy, the calculation gives -0.1626 Ha/atom.

---

Crystalline Ba2SmCu3O6 at its relaxed geometry, computed with GGA-PBE.

It has space group P4/mmm (No. 123), with a = 3.908 Å, b = 3.908 Å, c = 12.175 Å, α = 90.00°, β = 90.00° and γ = 90.00°. The distinct sites, in fractional coordinates, are Ba at (0.000, 0.000, 0.195), Sm at (0.000, 0.000, 0.500), Cu at (0.500, 0.500, 0.000), Cu at (0.500, 0.500, 0.365), O at (0.000, 0.500, 0.377) and O at (0.500, 0.500, 0.149).

The size of the total moment comes out at 0.02 μB per cell. The mass density comes out at 6.35 g cm⁻³. For the total energy, the calculation gives -0.2236 Ha/atom. Its formation energy (no corrections) is -1.8668 eV/atom.

---

Crystalline SiAgSb2 at its relaxed geometry, computed with GGA-PBE.

It has space group Immm (No. 71), with a = 4.021 Å, b = 5.411 Å, c = 8.455 Å, α = 90.00°, β = 90.00° and γ = 90.00°. The distinct sites, in fractional coordinates, are Si at (0.000, 0.000, 0.000), Ag at (0.000, 0.000, 0.500) and Sb at (0.000, 0.500, 0.265).

The size of the total moment comes out at 0.00 μB per cell. The mass density comes out at 6.85 g cm⁻³. For the total energy, the calculation gives -0.1365 Ha/atom. Its formation energy (no corrections) is 0.4159 eV/atom.

---

Crystalline YSi2 at its relaxed geometry, computed with GGA-PBE.

It has space group I4/mmm (No. 139), with a = 3.402 Å, b = 3.402 Å, c = 9.934 Å, α = 90.00°, β = 90.00° and γ = 90.00°. The distinct sites, in fractional coordinates, are Y at (0.000, 0.000, 0.000) and Si at (0.000, 0.000, 0.296).

The size of the total moment comes out at 0.35 μB per cell. The mass density comes out at 4.19 g cm⁻³. For the total energy, the calculation gives -0.2237 Ha/atom. Its formation energy (no corrections) is -0.3174 eV/atom.

---

Crystalline BaReRh at its relaxed geometry, computed with GGA-PBE.

It has space group Cm (No. 8), with a = 7.546 Å, b = 4.356 Å, c = 10.843 Å, α = 90.00°, β = 103.48° and γ = 90.00°. The distinct sites, in fractional coordinates, are Ba at (0.000, 0.000, 0.000), Ba at (0.037, 0.500, 0.606), Re at (0.235, 0.500, 0.203), Re at (0.427, 0.000, 0.281), Rh at (0.106, 0.000, 0.317) and Rh at (0.315, 0.500, 0.442).

The size of the total moment comes out at 0.00 μB per cell. The mass density comes out at 8.17 g cm⁻³. The calculation puts the energy above the most stable polymorph in this dataset at 0.51 eV/f.u. For the total energy, the calculation gives -0.2554 Ha/atom.

---

Crystalline Sm4YEr15 at its relaxed geometry, computed with GGA-PBE.

It has space group P4/mmm (No. 123), with a = 5.000 Å, b = 5.000 Å, c = 24.961 Å, α = 90.00°, β = 90.00° and γ = 90.00°. The distinct sites, in fractional coordinates, are Sm at (0.000, 0.000, 0.100), Sm at (0.000, 0.000, 0.300), Y at (0.000, 0.000, 0.500), Er at (0.000, 0.500, 0.000), Er at (0.000, 0.500, 0.200), Er at (0.000, 0.500, 0.400), Er at (0.500, 0.500, 0.100), Er at (0.500, 0.500, 0.300) and Er at (0.500, 0.500, 0.500).

The size of the total moment comes out at 0.00 μB per cell. The mass density comes out at 8.51 g cm⁻³. For the total energy, the calculation gives -0.1715 Ha/atom.